# LaSc2Te

A relaxed LaSc2Te crystal (PBE, Alexandria via LeMat-Bulk).

The space group is C2/m, No. 12. The value obtained for the formation energy without anion corrections is -196 kJ/mol of formula units. The electronic total energy is -22.762 eV per formula unit.

a = 6.105 Å, b = 6.105 Å, c = 5.527 Å
α = 110.12°, β = 110.12°, γ = 35.03°
Positions (direct):
La (0.000, 0.000, 0.000)
Sc (0.223, 0.223, 0.721)
Sc (0.777, 0.777, 0.279)
Te (0.500, 0.500, 0.500)


# NdDyY2Ho2

A relaxed NdDyY2Ho2 crystal (PBE, Alexandria via LeMat-Bulk).

The space group is Pnnm, No. 58. The electronic total energy is -29.842 eV per formula unit. The formation energy is 1.612 eV per formula unit.

a = 6.535 Å, b = 17.835 Å, c = 3.409 Å
α = 90.00°, β = 90.00°, γ = 90.00°
Positions (direct):
Nd (0.000, 0.000, 0.000)
Nd (0.500, 0.500, 0.500)
Dy (0.000, 0.500, 0.000)
Dy (0.500, 0.000, 0.500)
Y (0.223, 0.187, 0.000)
Y (0.277, 0.687, 0.500)
Y (0.723, 0.313, 0.500)
Y (0.777, 0.813, 0.000)
Ho (0.220, 0.353, 0.500)
Ho (0.280, 0.853, 0.000)
Ho (0.720, 0.147, 0.000)
Ho (0.780, 0.647, 0.500)


# TaVPt14

A relaxed TaVPt14 crystal (PBE, Alexandria via LeMat-Bulk).

The space group is P4/mmm, No. 123. The electronic total energy is -111.147 eV per formula unit. The formation energy is -5.604 eV per formula unit.

a = 5.622 Å, b = 5.622 Å, c = 7.874 Å
α = 90.00°, β = 90.00°, γ = 90.00°
Positions (direct):
Ta (0.000, 0.000, 0.000)
V (0.500, 0.500, 0.000)
Pt (0.000, 0.000, 0.500)
Pt (0.000, 0.500, 0.000)
Pt (0.000, 0.500, 0.500)
Pt (0.252, 0.252, 0.241)
Pt (0.252, 0.252, 0.759)
Pt (0.252, 0.748, 0.241)
Pt (0.252, 0.748, 0.759)
Pt (0.500, 0.000, 0.000)
Pt (0.500, 0.000, 0.500)
Pt (0.500, 0.500, 0.500)
Pt (0.748, 0.252, 0.241)
Pt (0.748, 0.252, 0.759)
Pt (0.748, 0.748, 0.241)
Pt (0.748, 0.748, 0.759)


# InSiNF2

A relaxed InSiNF2 crystal (PBE, Alexandria via LeMat-Bulk).

The space group is P4/mmm, No. 123. The value obtained for the formation energy without anion corrections is -175 kJ/mol of formula units. The electronic total energy is -22.044 eV per formula unit.

a = 4.215 Å, b = 4.215 Å, c = 4.274 Å
α = 90.00°, β = 90.00°, γ = 90.00°
Positions (direct):
In (0.000, 0.000, 0.000)
Si (0.500, 0.500, 0.500)
N (0.000, 0.000, 0.500)
F (0.000, 0.500, 0.000)
F (0.500, 0.000, 0.000)


# NdDyZn

A relaxed NdDyZn crystal (PBE, Alexandria via LeMat-Bulk).

The space group is P4/nmm, No. 129. The electronic total energy is -10.615 eV per formula unit. The formation energy is 0.029 eV per formula unit.

a = 4.769 Å, b = 4.769 Å, c = 7.536 Å
α = 90.00°, β = 90.00°, γ = 90.00°
Positions (direct):
Nd (0.250, 0.250, 0.243)
Nd (0.750, 0.750, 0.757)
Dy (0.250, 0.250, 0.767)
Dy (0.750, 0.750, 0.233)
Zn (0.250, 0.750, 0.500)
Zn (0.750, 0.250, 0.500)


# LiYFe

A relaxed LiYFe crystal (PBE, Alexandria via LeMat-Bulk).

The space group is P2_1/m, No. 11. The electronic total energy is -16.690 eV per formula unit. The formation energy is 0.151 eV per formula unit.

a = 4.076 Å, b = 3.790 Å, c = 8.568 Å
α = 90.00°, β = 103.52°, γ = 90.00°
Positions (direct):
Li (0.202, 0.250, 0.406)
Li (0.798, 0.750, 0.594)
Y (0.411, 0.250, 0.818)
Y (0.589, 0.750, 0.182)
Fe (0.027, 0.250, 0.056)
Fe (0.973, 0.750, 0.944)


# Ti4FeRh5

A relaxed Ti4FeRh5 crystal (PBE, Alexandria via LeMat-Bulk).

The space group is P4/mmm, No. 123. The electronic total energy is -83.130 eV per formula unit. The formation energy is -6.330 eV per formula unit.

a = 3.179 Å, b = 3.179 Å, c = 14.552 Å
α = 90.00°, β = 90.00°, γ = 90.00°
Positions (direct):
Ti (0.000, 0.000, 0.103)
Ti (0.000, 0.000, 0.313)
Ti (0.000, 0.000, 0.687)
Ti (0.000, 0.000, 0.897)
Fe (0.000, 0.000, 0.500)
Rh (0.500, 0.500, 0.000)
Rh (0.500, 0.500, 0.204)
Rh (0.500, 0.500, 0.403)
Rh (0.500, 0.500, 0.597)
Rh (0.500, 0.500, 0.796)


# EuDy2Pu

A relaxed EuDy2Pu crystal (PBE, Alexandria via LeMat-Bulk).

The space group is P4/mmm, No. 123. The electronic total energy is -32.867 eV per formula unit. The formation energy is 0.943 eV per formula unit.

a = 5.101 Å, b = 5.101 Å, c = 4.912 Å
α = 90.00°, β = 90.00°, γ = 90.00°
Positions (direct):
Eu (0.000, 0.000, 0.000)
Dy (0.000, 0.500, 0.500)
Dy (0.500, 0.000, 0.500)
Pu (0.500, 0.500, 0.000)


# AcNdZnGe

A relaxed AcNdZnGe crystal (PBE, Alexandria via LeMat-Bulk).

The space group is F-43m, No. 216. The electronic total energy is -16.537 eV per formula unit. The formation energy is -1.769 eV per formula unit.

a = 5.364 Å, b = 5.364 Å, c = 5.364 Å
α = 60.00°, β = 60.00°, γ = 60.00°
Positions (direct):
Ac (0.000, 0.000, 0.000)
Nd (0.500, 0.500, 0.500)
Zn (0.250, 0.250, 0.250)
Ge (0.750, 0.750, 0.750)


# LiDyCu11

A relaxed LiDyCu11 crystal (PBE, Alexandria via LeMat-Bulk).

The space group is C2/m, No. 12. The electronic total energy is -52.581 eV per formula unit. The formation energy is -1.007 eV per formula unit.

a = 6.420 Å, b = 6.420 Å, c = 6.503 Å
α = 97.88°, β = 97.88°, γ = 135.99°
Positions (direct):
Li (0.000, 0.000, 0.000)
Dy (0.500, 0.500, 0.500)
Cu (0.000, 0.500, 0.500)
Cu (0.001, 0.221, 0.724)
Cu (0.149, 0.507, 0.147)
Cu (0.221, 0.001, 0.724)
Cu (0.493, 0.851, 0.853)
Cu (0.500, 0.000, 0.500)
Cu (0.500, 0.500, 0.000)
Cu (0.507, 0.149, 0.147)
Cu (0.779, 0.999, 0.276)
Cu (0.851, 0.493, 0.853)
Cu (0.999, 0.779, 0.276)


# HfAlZn6

A relaxed HfAlZn6 crystal (PBE, Alexandria via LeMat-Bulk).

The space group is C2/m, No. 12. The electronic total energy is -19.853 eV per formula unit. The formation energy is 1.486 eV per formula unit.

a = 5.500 Å, b = 5.500 Å, c = 5.762 Å
α = 90.17°, β = 90.17°, γ = 56.29°
Positions (direct):
Hf (0.000, 0.000, 0.000)
Al (0.500, 0.500, 0.500)
Zn (0.002, 0.502, 0.208)
Zn (0.120, 0.120, 0.497)
Zn (0.498, 0.998, 0.792)
Zn (0.502, 0.002, 0.208)
Zn (0.880, 0.880, 0.503)
Zn (0.998, 0.498, 0.792)


# MgBeNi

A relaxed MgBeNi crystal (PBE, Alexandria via LeMat-Bulk).

The space group is Imma, No. 74. The electronic total energy is -11.815 eV per formula unit. The formation energy is -0.713 eV per formula unit.

a = 4.656 Å, b = 4.656 Å, c = 4.656 Å
α = 120.43°, β = 115.60°, γ = 93.52°
Positions (direct):
Mg (0.376, 0.126, 0.250)
Mg (0.624, 0.874, 0.750)
Be (0.000, 0.000, 0.500)
Be (0.000, 0.500, 0.000)
Ni (0.000, 0.500, 0.500)
Ni (0.500, 0.500, 0.000)


# RuW3

A relaxed RuW3 crystal (PBE, Alexandria via LeMat-Bulk).

The space group is Pnma, No. 62. The electronic total energy is -47.104 eV per formula unit. The formation energy is 1.031 eV per formula unit.

a = 4.981 Å, b = 9.250 Å, c = 5.482 Å
α = 90.00°, β = 90.00°, γ = 90.00°
Positions (direct):
Ru (0.068, 0.250, 0.111)
Ru (0.432, 0.750, 0.611)
Ru (0.568, 0.250, 0.389)
Ru (0.932, 0.750, 0.889)
W (0.037, 0.250, 0.613)
W (0.234, 0.514, 0.875)
W (0.234, 0.986, 0.875)
W (0.266, 0.014, 0.375)
W (0.266, 0.486, 0.375)
W (0.463, 0.750, 0.113)
W (0.537, 0.250, 0.887)
W (0.734, 0.514, 0.625)
W (0.734, 0.986, 0.625)
W (0.766, 0.014, 0.125)
W (0.766, 0.486, 0.125)
W (0.963, 0.750, 0.387)